No. 1
ZnSe2NF: optimized geometry, PBE.

Cell: 4.510 4.510 4.581 Å, 90.00 90.00 90.00°
Element x y z (fractional)
1 Zn 0.500 0.500 0.500
2 N 0.000 0.000 0.500
3 Se 0.000 0.500 0.000
4 Se 0.500 0.000 0.000
5 F 0.000 0.000 0.000

## Properties
Excess energy over the best structure of this formula in the dataset = 244.0 meV per atom
Crystal system = tetragonal
Calculated volume = 93.2 Å³/cell
Symmetry = P4/mmm, No. 123
Formation energy without anion corrections = 1.163 eV per atom
Density of states at the Fermi level = 0.33 states/eV/atom
Energy = -2.525 eV per atom

---

No. 2
AcAlTe3: optimized geometry, PBE.

Cell: 7.721 8.981 9.841 Å, 90.00 90.00 90.00°
Element x y z (fractional)
1 Ac 0.038 0.109 0.725
2 Ac 0.462 0.609 0.725
3 Ac 0.538 0.391 0.225
4 Ac 0.962 0.891 0.225
5 Al 0.458 0.914 0.998
6 Al 0.542 0.086 0.498
7 Al 0.042 0.414 0.998
8 Al 0.958 0.586 0.498
9 Te 0.844 0.186 0.421
10 Te 0.832 0.187 0.028
11 Te 0.156 0.814 0.921
12 Te 0.168 0.813 0.528
13 Te 0.332 0.313 0.528
14 Te 0.618 0.960 0.740
15 Te 0.668 0.687 0.028
16 Te 0.882 0.460 0.740
17 Te 0.656 0.686 0.421
18 Te 0.344 0.314 0.921
19 Te 0.118 0.540 0.240
20 Te 0.382 0.040 0.240

## Properties
Excess energy over the best structure of this formula in the dataset = 32.9 meV per atom
Crystal system = orthorhombic
Calculated volume = 682.4 Å³/cell
Symmetry = Pna2_1, No. 33
Formation energy without anion corrections = -0.944 eV per atom
Energy = -4.399 eV per atom

---

No. 3
DyAgHgAu: optimized geometry, PBE.

Cell: 4.950 4.950 4.950 Å, 60.00 60.00 60.00°
Element x y z (fractional)
1 Au 0.000 0.000 0.000
2 Hg 0.500 0.500 0.500
3 Ag 0.250 0.250 0.250
4 Dy 0.750 0.750 0.750

## Properties
Excess energy over the best structure of this formula in the dataset = 7.4 meV per atom
Crystal system = cubic
Calculated volume = 85.7 Å³/cell
Symmetry = F-43m, No. 216
Energy of formation from the pure elements = -448 meV/atom
Density of states at the Fermi level = 0.94 states/eV/atom
Energy = -3.206 eV per atom